Crystalline BaBeMo2O8 at its relaxed geometry, computed with PBE+U.

Summary:
Uncorrected energy, eV/atom: -6.88
DOS(E_F), states/eV/atom: 0.0000

abc: 5.0782 5.0782 22.8939
angles: 90.00 90.00 120.00
Space group R-3 (No. 148, hexagonal axes)
Inequivalent atoms, fractional coordinates:
Ba (0.0000, 0.0000, 0.0000) x3
Be (0.0000, 0.0000, 0.5000) x3
Mo (0.0000, 0.0000, 0.2327) x6
O (0.0000, 0.0000, 0.3117) x6
O (0.0096, 0.3052, 0.4525) x18